1.
Rb2Ge2Cl: relaxed, PBE.

Computed properties:
DOS(E_F) in states/eV/cell: 6.23
Raw formation energy in meV/atom: -362
Offset from the most stable computed form in eV/atom: 0.3061
Space group: No. 127
Total magnetization in μB per cell: 2.09

abc: 8.903 8.903 5.727
angles: 90.00 90.00 90.00
Element x y z (fractional)
1 Rb 0.202 0.298 0.000
2 Rb 0.298 0.798 0.000
3 Rb 0.702 0.202 0.000
4 Rb 0.798 0.702 0.000
5 Ge 0.089 0.589 0.500
6 Ge 0.411 0.089 0.500
7 Ge 0.589 0.911 0.500
8 Ge 0.911 0.411 0.500
9 Cl 0.000 0.000 0.000
10 Cl 0.500 0.500 0.000



2.
Er4SiSb: relaxed, PBE.

Computed properties:
DOS(E_F) in states/eV/cell: 13.76
Raw formation energy in meV/atom: -364
Space group: No. 11
Total magnetization in μB per cell: 0.00

abc: 5.754 8.718 7.358
angles: 90.00 103.75 90.00
Element x y z (fractional)
1 Er 0.020 0.051 0.236
2 Er 0.020 0.449 0.236
3 Er 0.407 0.750 0.488
4 Er 0.445 0.250 0.994
5 Er 0.555 0.750 0.006
6 Er 0.593 0.250 0.512
7 Er 0.980 0.551 0.764
8 Er 0.980 0.949 0.764
9 Si 0.086 0.750 0.078
10 Si 0.914 0.250 0.922
11 Sb 0.119 0.250 0.589
12 Sb 0.881 0.750 0.411



3.
Nd6As2HSe3: relaxed, PBE.

Computed properties:
Uncorrected energy in eV per atom: -5.772
DOS(E_F) in states/eV/cell: 6.01
Space group: No. 12
Total magnetization in μB per cell: 0.00

abc: 9.376 9.376 8.365
angles: 103.67 103.67 26.03
Element x y z (fractional)
1 Nd 0.000 0.000 0.248
2 Nd 0.000 0.000 0.752
3 Nd 0.330 0.330 0.422
4 Nd 0.335 0.335 0.913
5 Nd 0.665 0.665 0.087
6 Nd 0.670 0.670 0.578
7 As 0.164 0.164 0.329
8 As 0.836 0.836 0.671
9 H 0.500 0.500 0.000
10 Se 0.169 0.169 0.834
11 Se 0.500 0.500 0.500
12 Se 0.831 0.831 0.166